# 1
{
  "formula": "Na2Be2ZnO4",
  "functional": "PBE",
  "state": "optimized geometry",
  "lattice": [[2.914, 0.000, 0.000], [0.000, 5.984, -0.234], [-1.457, -2.586, 5.463]],
  "species": ["Be", "Be", "O", "O", "O", "O", "Na", "Na", "Zn"],
  "fractional_positions": [[0.325, 0.018, 0.650], [0.675, 0.982, 0.350], [0.775, 0.852, 0.550], [0.225, 0.148, 0.450], [0.529, 0.789, 0.058], [0.471, 0.211, 0.942], [0.120, 0.536, 0.239], [0.880, 0.464, 0.761], [0.000, 0.000, 0.000]],
  "raw_formation_energy_mev_per_atom": -1926,
  "sg": "C2/m, No. 12",
  "crystal_system": "monoclinic"
}

---

# 2
{
  "formula": "NaBeZnO2",
  "functional": "PBE",
  "state": "optimized geometry",
  "lattice": [[-0.305, -3.636, 0.322], [4.047, -0.189, 1.703], [-1.395, 0.415, 3.361]],
  "species": ["O", "O", "Zn", "Be", "Na"],
  "fractional_positions": [[0.500, 0.000, 0.000], [0.000, 0.000, 0.500], [0.000, 0.500, 0.000], [0.000, 0.000, 0.000], [0.500, 0.500, 0.500]],
  "raw_formation_energy_mev_per_atom": -494,
  "sg": "P4/mmm, No. 123",
  "crystal_system": "tetragonal"
}

---

# 3
{
  "formula": "NaBe2Os",
  "functional": "PBE",
  "state": "optimized geometry",
  "lattice": [[-1.307, 2.086, 3.293], [-3.845, -0.509, 1.363], [-0.681, -1.970, 3.543]],
  "species": ["Na", "Os", "Be", "Be"],
  "fractional_positions": [[0.000, 0.000, 0.000], [0.500, 0.500, 0.500], [0.250, 0.250, 0.250], [0.750, 0.750, 0.750]],
  "relative_energy_ev_per_atom": 0.000,
  "formation_energy_ev_per_atom": 0.59,
  "sg": "Fm-3m, No. 225",
  "crystal_system": "cubic"
}

---

# 4
{
  "formula": "Na3BeOs",
  "functional": "PBE",
  "state": "optimized geometry",
  "lattice": [[-1.172, -1.251, 5.345], [-1.074, -5.308, -1.478], [5.384, -1.331, 0.869]],
  "species": ["Os", "Na", "Na", "Na", "Be"],
  "fractional_positions": [[0.000, 0.000, 0.000], [0.000, 0.500, 0.000], [0.000, 0.000, 0.500], [0.500, 0.000, 0.000], [0.500, 0.500, 0.500]],
  "relative_energy_ev_per_atom": 0.055,
  "formation_energy_ev_per_atom": 1.75,
  "sg": "Pm-3m, No. 221",
  "crystal_system": "cubic"
}

---

# 5
{
  "formula": "NaBe2Os2",
  "functional": "PBE",
  "state": "optimized geometry",
  "lattice": [[-5.498, -2.844, -0.451], [2.771, -4.962, -2.492], [0.393, -1.211, 2.848]],
  "species": ["Be", "Be", "Be", "Be", "Os", "Os", "Os", "Os", "Na", "Na"],
  "fractional_positions": [[0.122, 0.378, 0.000], [0.878, 0.622, 0.000], [0.378, 0.878, 0.000], [0.622, 0.122, 0.000], [0.165, 0.665, 0.500], [0.665, 0.835, 0.500], [0.835, 0.335, 0.500], [0.335, 0.165, 0.500], [0.000, 0.000, 0.000], [0.500, 0.500, 0.000]],
  "formation_energy_ev_per_atom": 0.39,
  "sg": "P4/mbm, No. 127",
  "crystal_system": "tetragonal"
}

---

# 6
{
  "formula": "NaBeOs3",
  "functional": "PBE",
  "state": "optimized geometry",
  "lattice": [[4.436, 0.000, 0.000], [0.000, 4.436, 0.000], [0.000, 0.000, 4.436]],
  "species": ["Be", "Os", "Os", "Os", "Na"],
  "fractional_positions": [[0.500, 0.500, 0.500], [0.000, 0.500, 0.000], [0.000, 0.000, 0.500], [0.500, 0.000, 0.000], [0.000, 0.000, 0.000]],
  "relative_energy_ev_per_atom": 2.139,
  "formation_energy_ev_per_atom": 3.30,
  "sg": "Pm-3m, No. 221",
  "crystal_system": "cubic"
}

---

# 7
{
  "formula": "Na3BeOs",
  "functional": "PBE",
  "state": "optimized geometry",
  "lattice": [[-4.915, -1.395, -0.006], [1.010, -3.577, 3.506], [-0.961, 3.371, 3.717]],
  "species": ["Na", "Na", "Na", "Os", "Be"],
  "fractional_positions": [[0.000, 0.500, 0.000], [0.500, 0.000, 0.000], [0.000, 0.000, 0.500], [0.500, 0.500, 0.500], [0.000, 0.000, 0.000]],
  "relative_energy_ev_per_atom": 0.000,
  "formation_energy_ev_per_atom": 1.70,
  "sg": "Pm-3m, No. 221",
  "crystal_system": "cubic"
}

---

# 8
{
  "formula": "NaBe2Os",
  "functional": "PBE",
  "state": "optimized geometry",
  "lattice": [[4.287, 0.000, 0.000], [0.000, 4.287, 0.000], [2.144, 2.144, 7.597]],
  "species": ["Os", "Os", "Be", "Be", "Be", "Be", "Na", "Na"],
  "fractional_positions": [[0.000, 0.000, 0.000], [0.750, 0.250, 0.500], [0.948, 0.625, 0.250], [0.375, 0.198, 0.750], [0.802, 0.125, 0.250], [0.875, 0.052, 0.750], [0.250, 0.750, 0.500], [0.500, 0.500, 0.000]],
  "relative_energy_ev_per_atom": 0.324,
  "formation_energy_ev_per_atom": 0.92,
  "sg": "I-42d, No. 122",
  "crystal_system": "tetragonal"
}

---

Magnetic moment readings, ordered: 0.00 0.00 0.00 1.41 0.00 3.03 2.19 0.48 μB per formula unit
Energy readings, ordered: -5.393 -3.741 -4.408 -2.031 -5.852 -4.446 -2.086 -4.084 eV/atom